[1]
Li4Ti5V3O16, single point on PBEsol structure, DFT meta-GGA SCAN; energy relative to the elements, uncorrected = -2.95 eV/atom; volume = 9.9 A^3/atom
1.0
5.803 0.000 0.000
-2.901 5.020 -0.010
0.000 -0.031 9.515
O Li Ti V
16 4 5 3
Direct
0.833 0.667 0.097
0.337 0.171 0.098
0.166 0.332 0.600
0.002 0.005 0.308
0.517 0.035 0.843
0.486 0.521 0.344
0.669 0.338 0.596
0.835 0.171 0.098
0.480 0.960 0.338
0.662 0.832 0.598
0.962 0.484 0.842
0.521 0.484 0.842
0.003 0.007 0.806
0.339 0.678 0.097
0.169 0.832 0.598
0.035 0.521 0.344
0.331 0.662 0.894
0.004 0.008 0.993
0.000 0.999 0.495
0.664 0.329 0.395
0.166 0.820 0.218
0.327 0.655 0.496
0.654 0.820 0.218
0.827 0.654 0.721
0.660 0.320 0.993
0.177 0.353 0.213
0.819 0.170 0.713
0.351 0.170 0.713



[2]
LiTiVO4, single point on PBEsol structure, DFT meta-GGA SCAN; energy relative to the elements, uncorrected = -2.83 eV/atom; volume = 10.2 A^3/atom
1.0
-3.110 0.518 -4.080
2.016 -5.010 -2.165
-4.277 -2.550 5.796
Ti O V Li
3 12 3 3
Direct
0.529 0.599 0.343
0.496 0.242 0.003
0.491 0.417 0.667
0.721 0.047 0.160
0.290 0.784 0.174
0.286 0.461 0.846
0.277 0.967 0.841
0.710 0.885 0.494
0.283 0.308 0.179
0.714 0.362 0.484
0.714 0.209 0.821
0.295 0.617 0.505
0.281 0.129 0.513
0.715 0.699 0.826
0.720 0.536 0.154
0.503 0.767 0.000
0.484 0.075 0.321
0.500 0.909 0.674
0.006 0.320 0.328
0.004 0.536 0.003
0.989 0.132 0.662



[3]
Li2TiVO4, single point on PBEsol structure, DFT meta-GGA SCAN; energy relative to the elements, uncorrected = -2.73 eV/atom; volume = 8.2 A^3/atom
1.0
3.996 0.000 0.000
0.000 3.996 0.000
-1.998 -1.998 4.123
O Ti Li V
4 1 2 1
Direct
0.750 0.750 0.500
0.000 0.500 0.999
0.250 0.250 0.500
0.500 0.000 0.001
0.250 0.750 0.500
0.000 0.000 0.000
0.750 0.250 0.500
0.500 0.500 0.000



[4]
Li2TiVO4, single point on PBEsol structure, DFT meta-GGA SCAN; energy relative to the elements, uncorrected = -2.73 eV/atom; volume = 8.6 A^3/atom
1.0
-1.677 2.406 4.286
0.601 -4.807 2.981
7.169 1.973 -1.059
O Li V Ti
12 6 3 3
Direct
0.728 0.289 0.665
0.735 0.793 0.664
0.276 0.876 0.007
0.724 0.124 0.993
0.249 0.538 0.665
0.722 0.958 0.327
0.767 0.634 0.008
0.272 0.711 0.335
0.278 0.042 0.673
0.233 0.366 0.992
0.751 0.462 0.335
0.265 0.207 0.336
0.994 0.084 0.832
0.003 0.253 0.503
0.997 0.747 0.497
0.996 0.578 0.831
0.004 0.422 0.169
0.006 0.916 0.168
0.501 0.635 0.148
0.499 0.365 0.852
0.500 0.500 0.500
0.500 0.190 0.164
0.500 0.000 0.500
0.500 0.810 0.836



[5]
Li2TiVO4, single point on PBEsol structure, DFT meta-GGA SCAN; energy relative to the elements, uncorrected = -2.72 eV/atom; volume = 8.6 A^3/atom
1.0
-2.199 -4.700 -0.257
1.329 1.491 -7.257
7.036 -1.690 2.070
Ti Li O V
4 8 16 4
Direct
0.007 0.742 0.742
0.000 0.000 0.500
0.993 0.258 0.258
0.000 0.500 0.000
0.500 0.251 0.749
0.504 0.625 0.875
0.500 0.000 0.000
0.496 0.125 0.375
0.500 0.500 0.500
0.500 0.749 0.251
0.496 0.375 0.125
0.504 0.875 0.625
0.224 0.867 0.371
0.238 0.997 0.746
0.762 0.254 0.003
0.762 0.499 0.752
0.235 0.125 0.125
0.224 0.371 0.867
0.762 0.752 0.499
0.271 0.630 0.630
0.762 0.003 0.254
0.776 0.629 0.133
0.238 0.248 0.501
0.776 0.133 0.629
0.765 0.875 0.875
0.729 0.370 0.370
0.238 0.501 0.248
0.238 0.746 0.997
0.000 0.121 0.879
0.000 0.606 0.394
0.000 0.879 0.121
0.000 0.394 0.606



[6]
Li4Ti3V3W2O16, single point on PBEsol structure, DFT meta-GGA SCAN; energy relative to the elements, uncorrected = -2.60 eV/atom; volume = 9.8 A^3/atom
1.0
-3.254 1.388 4.628
-2.237 -3.351 -4.234
2.677 -7.890 4.249
O V Ti Li W
16 3 3 4 2
Direct
0.829 0.165 0.905
0.664 0.327 0.398
0.973 0.503 0.157
0.477 0.955 0.655
0.664 0.831 0.404
0.167 0.831 0.404
0.833 0.667 0.904
0.174 0.348 0.406
0.335 0.165 0.905
0.013 0.026 0.194
0.530 0.503 0.157
0.013 0.027 0.691
0.014 0.534 0.657
0.334 0.669 0.899
0.482 0.964 0.154
0.520 0.534 0.657
0.376 0.167 0.268
0.186 0.373 0.773
0.791 0.167 0.268
0.668 0.838 0.790
0.839 0.677 0.290
0.169 0.838 0.790
0.661 0.322 0.601
0.000 0.000 0.007
0.315 0.630 0.096
0.000 0.000 0.502
0.317 0.633 0.520
0.653 0.307 0.038